Record 1
! SmMg3Pb3 (PBE, relaxed); values from VASP
&SYSTEM
  ibrav = 0, nat = 14, ntyp = 3
/
ATOMIC_SPECIES
Mg 24.30 Mg.upf
Pb 207.20 Pb.upf
Sm 150.36 Sm.upf
ATOMIC_POSITIONS crystal
Mg 0.361 0.639 0.500
Mg 0.759 0.759 0.513
Mg 0.751 0.249 0.000
Mg 0.639 0.361 0.500
Mg 0.249 0.751 0.000
Mg 0.241 0.241 0.487
Pb 0.998 0.998 0.764
Pb 0.483 0.996 0.265
Pb 0.002 0.002 0.236
Pb 0.517 0.004 0.735
Pb 0.004 0.517 0.735
Pb 0.996 0.483 0.265
Sm 0.698 0.698 0.027
Sm 0.302 0.302 0.973
CELL_PARAMETERS angstrom
7.499 -0.265 0.247
-0.248 7.500 0.247
0.246 0.246 6.947
! - E_form: -0.110 eV/atom
! - Space-group type: C2/m, No. 12
! - E: -3.057 eV per atom

---

Record 2
! PmNd5Pb3 (PBE, relaxed); values from VASP
&SYSTEM
  ibrav = 0, nat = 18, ntyp = 3
/
ATOMIC_SPECIES
Pb 207.20 Pb.upf
Nd 144.24 Nd.upf
Pm 145.00 Pm.upf
ATOMIC_POSITIONS crystal
Pb 0.250 0.333 0.000
Pb 0.250 0.667 0.667
Pb 0.750 0.333 0.333
Pb 0.750 0.667 0.000
Pb 0.750 0.000 0.667
Pb 0.250 0.000 0.333
Nd 0.250 0.333 0.333
Nd 0.750 0.667 0.667
Nd 0.250 0.667 0.000
Nd 0.250 0.000 0.667
Nd 0.750 0.333 0.000
Nd 0.750 0.000 0.333
Nd 0.500 0.667 0.333
Nd 0.000 0.667 0.333
Nd 0.500 0.333 0.667
Nd 0.000 0.333 0.667
Pm 0.500 0.000 0.000
Pm 0.000 0.000 0.000
CELL_PARAMETERS angstrom
-2.402 5.950 2.316
-8.618 -1.835 -4.223
1.658 -2.904 9.181
! - E_form: -0.429 eV/atom
! - Space-group type: P6_3/mcm, No. 193
! - E: -4.842 eV per atom

---

Record 3
! Ca3P5Se12 (PBE, relaxed); values from VASP
&SYSTEM
  ibrav = 0, nat = 80, ntyp = 3
/
ATOMIC_SPECIES
Se 78.96 Se.upf
Ca 40.08 Ca.upf
P 30.97 P.upf
ATOMIC_POSITIONS crystal
Se 0.419 0.297 0.322
Se 0.903 0.081 0.879
Se 0.203 0.678 0.081
Se 0.025 0.403 0.822
Se 0.081 0.903 0.379
Se 0.379 0.403 0.081
Se 0.919 0.097 0.621
Se 0.178 0.097 0.975
Se 0.703 0.581 0.178
Se 0.203 0.525 0.621
Se 0.975 0.597 0.178
Se 0.597 0.621 0.419
Se 0.379 0.975 0.797
Se 0.403 0.025 0.322
Se 0.797 0.322 0.919
Se 0.597 0.975 0.678
Se 0.879 0.581 0.903
Se 0.097 0.919 0.121
Se 0.678 0.203 0.581
Se 0.581 0.703 0.678
Se 0.178 0.081 0.703
Se 0.121 0.703 0.525
Se 0.403 0.379 0.581
Se 0.475 0.797 0.879
Se 0.297 0.879 0.975
Se 0.822 0.903 0.025
Se 0.797 0.475 0.379
Se 0.525 0.322 0.903
Se 0.581 0.879 0.403
Se 0.919 0.822 0.797
Se 0.678 0.475 0.597
Se 0.081 0.178 0.203
Se 0.525 0.203 0.121
Se 0.297 0.419 0.822
Se 0.025 0.621 0.703
Se 0.703 0.121 0.025
Se 0.097 0.178 0.475
Se 0.975 0.379 0.297
Se 0.903 0.822 0.525
Se 0.879 0.297 0.475
Se 0.419 0.121 0.597
Se 0.121 0.419 0.097
Se 0.621 0.025 0.203
Se 0.475 0.678 0.097
Se 0.822 0.919 0.297
Se 0.322 0.797 0.419
Se 0.621 0.597 0.919
Se 0.322 0.525 0.403
Ca 0.250 0.625 0.875
Ca 0.750 0.375 0.125
Ca 0.375 0.625 0.250
Ca 0.125 0.250 0.875
Ca 0.250 0.125 0.375
Ca 0.625 0.375 0.750
Ca 0.875 0.750 0.125
Ca 0.125 0.875 0.750
Ca 0.625 0.250 0.375
Ca 0.875 0.125 0.250
Ca 0.375 0.750 0.625
Ca 0.750 0.875 0.625
P 0.125 0.750 0.375
P 0.000 0.000 0.500
P 0.000 0.500 0.000
P 0.125 0.375 0.250
P 0.375 0.250 0.125
P 0.375 0.125 0.750
P 0.500 0.000 0.000
P 0.625 0.750 0.875
P 0.875 0.250 0.625
P 0.000 0.500 0.500
P 0.500 0.500 0.000
P 0.000 0.000 0.000
P 0.750 0.625 0.375
P 0.750 0.125 0.875
P 0.875 0.625 0.750
P 0.625 0.875 0.250
P 0.250 0.375 0.625
P 0.500 0.000 0.500
P 0.250 0.875 0.125
P 0.500 0.500 0.500
CELL_PARAMETERS angstrom
-7.955 -1.778 11.132
1.427 -12.031 -6.603
12.407 4.605 3.902
! - Space-group type: Ia-3d, No. 230
! - Uncorrected formation energy: -484 meV per atom
! - E: -4.228 eV per atom

---

Record 4
! Li3PmPd2 (PBE, relaxed); values from VASP
&SYSTEM
  ibrav = 0, nat = 12, ntyp = 3
/
ATOMIC_SPECIES
Pm 145.00 Pm.upf
Pd 106.42 Pd.upf
Li 6.94 Li.upf
ATOMIC_POSITIONS crystal
Pm 0.137 0.273 0.024
Pm 0.863 0.727 0.976
Pd 0.440 0.880 0.811
Pd 0.210 0.420 0.738
Pd 0.560 0.120 0.189
Pd 0.790 0.580 0.262
Li 0.715 0.430 0.539
Li 0.417 0.835 0.313
Li 0.940 0.879 0.606
Li 0.060 0.121 0.394
Li 0.583 0.165 0.687
Li 0.285 0.570 0.461
CELL_PARAMETERS angstrom
-2.496 0.951 3.240
-2.989 -5.726 -3.343
6.316 -1.598 5.335
! - E_form: -0.470 eV/atom
! - Space-group type: C2/m, No. 12
! - E: -3.950 eV per atom

---

Record 5
! NbHgTe2 (PBE, relaxed); values from VASP
&SYSTEM
  ibrav = 0, nat = 16, ntyp = 3
/
ATOMIC_SPECIES
Hg 200.59 Hg.upf
Te 127.60 Te.upf
Nb 92.91 Nb.upf
ATOMIC_POSITIONS crystal
Hg 0.987 0.250 0.591
Hg 0.513 0.750 0.091
Hg 0.013 0.750 0.409
Hg 0.487 0.250 0.909
Te 0.850 0.750 0.021
Te 0.262 0.250 0.726
Te 0.150 0.250 0.979
Te 0.738 0.750 0.274
Te 0.238 0.750 0.226
Te 0.650 0.250 0.521
Te 0.762 0.250 0.774
Te 0.350 0.750 0.479
Nb 0.463 0.250 0.324
Nb 0.037 0.750 0.824
Nb 0.963 0.250 0.176
Nb 0.537 0.750 0.676
CELL_PARAMETERS angstrom
-5.205 -1.328 7.136
-2.768 -0.575 -2.126
2.784 -12.383 -0.274
! - Space-group type: Pnma, No. 62
! - Uncorrected formation energy: 21 meV per atom
! - E: -4.143 eV per atom

---

Record 6
! TlSbTe2 (PBE, relaxed); values from VASP
&SYSTEM
  ibrav = 0, nat = 4, ntyp = 3
/
ATOMIC_SPECIES
Te 127.60 Te.upf
Tl 204.38 Tl.upf
Sb 121.76 Sb.upf
ATOMIC_POSITIONS crystal
Te 0.500 0.500 0.323
Te 0.000 0.000 0.870
Tl 0.000 0.000 0.382
Sb 0.500 0.500 0.925
CELL_PARAMETERS angstrom
4.564 0.000 0.000
0.000 4.564 0.000
0.000 0.000 6.898
! - Space-group type: P4mm, No. 99
! - Uncorrected formation energy: -158 meV per atom
! - E: -3.351 eV per atom